# LiErMoOs | Alexandria | PBE-GGA | relaxed
data_LiErMoOs
_space_group_name_H-M_alt 'F -4 3 m'
_space_group_IT_number 216
_space_group_name_Hall 'F -4 2 3'
_cell_length_a 6.483
_cell_length_b 6.483
_cell_length_c 6.483
_cell_angle_alpha 90.00
_cell_angle_beta 90.00
_cell_angle_gamma 90.00
loop_
_atom_site_label
_atom_site_type_symbol
_atom_site_fract_x
_atom_site_fract_y
_atom_site_fract_z
_atom_site_occupancy
Li1 Li 0.000 0.000 0.000 1
Er1 Er 0.250 0.250 0.750 1
Mo1 Mo 0.250 0.250 0.250 1
Os1 Os 0.000 0.000 0.500 1
# Volume ... 272 Å³ per cell
# Energy of formation ... 2.31 kcal/mol of atoms

***

# LiTbErMo | Alexandria | PBE-GGA | relaxed
data_LiTbErMo
_space_group_name_H-M_alt 'F -4 3 m'
_space_group_IT_number 216
_space_group_name_Hall 'F -4 2 3'
_cell_length_a 7.041
_cell_length_b 7.041
_cell_length_c 7.041
_cell_angle_alpha 90.00
_cell_angle_beta 90.00
_cell_angle_gamma 90.00
loop_
_atom_site_label
_atom_site_type_symbol
_atom_site_fract_x
_atom_site_fract_y
_atom_site_fract_z
_atom_site_occupancy
Li1 Li 0.000 0.000 0.000 1
Tb1 Tb 0.250 0.250 0.250 1
Er1 Er 0.250 0.250 0.750 1
Mo1 Mo 0.000 0.000 0.500 1
# Volume ... 349 Å³ per cell
# Energy of formation ... 5.92 kcal/mol of atoms

***

# LiErTcMo | Alexandria | PBE-GGA | relaxed
data_LiErTcMo
_space_group_name_H-M_alt 'F -4 3 m'
_space_group_IT_number 216
_space_group_name_Hall 'F -4 2 3'
_cell_length_a 6.484
_cell_length_b 6.484
_cell_length_c 6.484
_cell_angle_alpha 90.00
_cell_angle_beta 90.00
_cell_angle_gamma 90.00
loop_
_atom_site_label
_atom_site_type_symbol
_atom_site_fract_x
_atom_site_fract_y
_atom_site_fract_z
_atom_site_occupancy
Li1 Li 0.000 0.000 0.000 1
Er1 Er 0.250 0.250 0.750 1
Tc1 Tc 0.000 0.000 0.500 1
Mo1 Mo 0.250 0.250 0.250 1
# Volume ... 273 Å³ per cell
# Energy of formation ... 3.38 kcal/mol of atoms

***

# LiYErMo | Alexandria | PBE-GGA | relaxed
data_LiYErMo
_space_group_name_H-M_alt 'F -4 3 m'
_space_group_IT_number 216
_space_group_name_Hall 'F -4 2 3'
_cell_length_a 7.089
_cell_length_b 7.089
_cell_length_c 7.089
_cell_angle_alpha 90.00
_cell_angle_beta 90.00
_cell_angle_gamma 90.00
loop_
_atom_site_label
_atom_site_type_symbol
_atom_site_fract_x
_atom_site_fract_y
_atom_site_fract_z
_atom_site_occupancy
Li1 Li 0.000 0.000 0.000 1
Y1 Y 0.250 0.250 0.750 1
Er1 Er 0.250 0.250 0.250 1
Mo1 Mo 0.000 0.000 0.500 1
# Volume ... 356 Å³ per cell
# Energy of formation ... 6.14 kcal/mol of atoms

***

# LiErZrMo | Alexandria | PBE-GGA | relaxed
data_LiErZrMo
_space_group_name_H-M_alt 'F -4 3 m'
_space_group_IT_number 216
_space_group_name_Hall 'F -4 2 3'
_cell_length_a 6.821
_cell_length_b 6.821
_cell_length_c 6.821
_cell_angle_alpha 90.00
_cell_angle_beta 90.00
_cell_angle_gamma 90.00
loop_
_atom_site_label
_atom_site_type_symbol
_atom_site_fract_x
_atom_site_fract_y
_atom_site_fract_z
_atom_site_occupancy
Li1 Li 0.000 0.000 0.000 1
Er1 Er 0.250 0.250 0.250 1
Zr1 Zr 0.250 0.250 0.750 1
Mo1 Mo 0.000 0.000 0.500 1
# Volume ... 317 Å³ per cell
# Energy of formation ... 3.32 kcal/mol of atoms

***

# LiEr3N | Alexandria | PBE-GGA | relaxed
data_LiEr3N
_space_group_name_H-M_alt 'P m -3 m'
_space_group_IT_number 221
_space_group_name_Hall '-P 4 2 3'
_cell_length_a 4.797
_cell_length_b 4.797
_cell_length_c 4.797
_cell_angle_alpha 90.00
_cell_angle_beta 90.00
_cell_angle_gamma 90.00
loop_
_atom_site_label
_atom_site_type_symbol
_atom_site_fract_x
_atom_site_fract_y
_atom_site_fract_z
_atom_site_occupancy
Li1 Li 0.000 0.000 0.000 1
Er1 Er 0.000 0.500 0.500 1
N1 N 0.500 0.500 0.500 1
# Uncorrected formation energy ... -568 meV/atom
# Volume ... 110 Å³ per cell

***

# LiErN | Alexandria | PBE-GGA | relaxed
data_LiErN
_space_group_name_H-M_alt 'R -3 m'
_space_group_IT_number 166
_space_group_name_Hall '-R 3 2"'
_cell_length_a 3.5092
_cell_length_b 3.5092
_cell_length_c 25.6993
_cell_angle_alpha 90.00
_cell_angle_beta 90.00
_cell_angle_gamma 120.00
loop_
_atom_site_label
_atom_site_type_symbol
_atom_site_fract_x
_atom_site_fract_y
_atom_site_fract_z
_atom_site_occupancy
Li1 Li 0.0000 0.0000 0.1890 1
Er1 Er 0.0000 0.0000 0.3990 1
N1 N 0.0000 0.0000 0.1071 1
# Uncorrected formation energy ... -941 meV/atom
# Volume ... 274 Å³ per cell

***

# LiErN | Alexandria | PBE-GGA | relaxed
data_LiErN
_space_group_name_H-M_alt 'F -4 3 m'
_space_group_IT_number 216
_space_group_name_Hall 'F -4 2 3'
_cell_length_a 5.471
_cell_length_b 5.471
_cell_length_c 5.471
_cell_angle_alpha 90.00
_cell_angle_beta 90.00
_cell_angle_gamma 90.00
loop_
_atom_site_label
_atom_site_type_symbol
_atom_site_fract_x
_atom_site_fract_y
_atom_site_fract_z
_atom_site_occupancy
Li1 Li 0.000 0.000 0.000 1
Er1 Er 0.000 0.000 0.500 1
N1 N 0.250 0.250 0.750 1
# Uncorrected formation energy ... -753 meV/atom
# Volume ... 164 Å³ per cell

***

# Li2Er4N | Alexandria | PBE-GGA | relaxed
data_Li2Er4N
_space_group_name_H-M_alt 'I 4/m m m'
_space_group_IT_number 139
_space_group_name_Hall '-I 4 2'
_cell_length_a 4.760
_cell_length_b 4.760
_cell_length_c 14.744
_cell_angle_alpha 90.00
_cell_angle_beta 90.00
_cell_angle_gamma 90.00
loop_
_atom_site_label
_atom_site_type_symbol
_atom_site_fract_x
_atom_site_fract_y
_atom_site_fract_z
_atom_site_occupancy
Li1 Li 0.000 0.000 0.136 1
Er1 Er 0.000 0.000 0.338 1
Er2 Er 0.000 0.500 0.000 1
N1 N 0.000 0.000 0.500 1
# Uncorrected formation energy ... -233 meV/atom
# Volume ... 334 Å³ per cell

***

# LiEr2N | Alexandria | PBE-GGA | relaxed
data_LiEr2N
_space_group_name_H-M_alt 'R -3 m'
_space_group_IT_number 166
_space_group_name_Hall '-R 3 2"'
_cell_length_a 3.3896
_cell_length_b 3.3896
_cell_length_c 26.9182
_cell_angle_alpha 90.00
_cell_angle_beta 90.00
_cell_angle_gamma 120.00
loop_
_atom_site_label
_atom_site_type_symbol
_atom_site_fract_x
_atom_site_fract_y
_atom_site_fract_z
_atom_site_occupancy
Li1 Li 0.0000 0.0000 0.0000 1
Er1 Er 0.0000 0.0000 0.1174 1
N1 N 0.0000 0.0000 0.5000 1
# Uncorrected formation energy ... -684 meV/atom
# Volume ... 268 Å³ per cell

***

# Li2ErNb3N6 | Alexandria | PBE-GGA | relaxed
data_Li2ErNb3N6
_space_group_name_H-M_alt 'C 1 2/m 1'
_space_group_IT_number 12
_cell_length_a 13.887
_cell_length_b 3.142
_cell_length_c 6.453
_cell_angle_alpha 90.00
_cell_angle_beta 105.81
_cell_angle_gamma 90.00
loop_
_space_group_symop_operation_xyz
'x,y,z'
'-x,-y,-z'
'-x,y,-z'
'x,-y,z'
'x+1/2,y+1/2,z'
'-x+1/2,-y+1/2,-z'
'-x+1/2,y+1/2,-z'
'x+1/2,-y+1/2,z'
loop_
_atom_site_label
_atom_site_type_symbol
_atom_site_fract_x
_atom_site_fract_y
_atom_site_fract_z
_atom_site_occupancy
Li1 Li 0.174 0.000 0.352 1
Er1 Er 0.000 0.500 0.000 1
Nb1 Nb 0.000 0.500 0.500 1
Nb2 Nb 0.174 0.000 0.822 1
N1 N 0.005 0.000 0.738 1
N2 N 0.162 0.500 0.598 1
N3 N 0.172 0.500 0.066 1
# Uncorrected formation energy ... -1078 meV/atom
# Volume ... 271 Å³ per cell

***

# LiErNbN3 | Alexandria | PBE-GGA | relaxed
data_LiErNbN3
_space_group_name_H-M_alt 'P 1 21/m 1'
_space_group_IT_number 11
_cell_length_a 6.649
_cell_length_b 3.172
_cell_length_c 6.771
_cell_angle_alpha 90.00
_cell_angle_beta 103.03
_cell_angle_gamma 90.00
loop_
_space_group_symop_operation_xyz
'x,y,z'
'-x,-y,-z'
'-x,y+1/2,-z'
'x,-y+1/2,z'
loop_
_atom_site_label
_atom_site_type_symbol
_atom_site_fract_x
_atom_site_fract_y
_atom_site_fract_z
_atom_site_occupancy
Li1 Li 0.078 0.250 0.086 1
Er1 Er 0.197 0.250 0.724 1
Nb1 Nb 0.329 0.750 0.311 1
N1 N 0.127 0.250 0.366 1
N2 N 0.219 0.750 0.016 1
N3 N 0.442 0.750 0.668 1
# Uncorrected formation energy ... -1011 meV/atom
# Volume ... 139 Å³ per cell

***

# LiErNb2N4 | Alexandria | PBE-GGA | relaxed
data_LiErNb2N4
_space_group_name_H-M_alt 'I 4/m m m'
_space_group_IT_number 139
_space_group_name_Hall '-I 4 2'
_cell_length_a 4.505
_cell_length_b 4.505
_cell_length_c 8.778
_cell_angle_alpha 90.00
_cell_angle_beta 90.00
_cell_angle_gamma 90.00
loop_
_atom_site_label
_atom_site_type_symbol
_atom_site_fract_x
_atom_site_fract_y
_atom_site_fract_z
_atom_site_occupancy
Li1 Li 0.000 0.000 0.000 1
Er1 Er 0.000 0.000 0.500 1
Nb1 Nb 0.000 0.500 0.250 1
N1 N 0.000 0.000 0.242 1
N2 N 0.000 0.500 0.000 1
# Uncorrected formation energy ... -1064 meV/atom
# Volume ... 178 Å³ per cell

***

# LiEr2NpN4 | Alexandria | PBE-GGA | relaxed
data_LiEr2NpN4
_space_group_name_H-M_alt 'I 4/m m m'
_space_group_IT_number 139
_space_group_name_Hall '-I 4 2'
_cell_length_a 4.667
_cell_length_b 4.667
_cell_length_c 9.944
_cell_angle_alpha 90.00
_cell_angle_beta 90.00
_cell_angle_gamma 90.00
loop_
_atom_site_label
_atom_site_type_symbol
_atom_site_fract_x
_atom_site_fract_y
_atom_site_fract_z
_atom_site_occupancy
Li1 Li 0.000 0.000 0.000 1
Er1 Er 0.000 0.500 0.250 1
Np1 Np 0.000 0.000 0.500 1
N1 N 0.000 0.000 0.285 1
N2 N 0.000 0.500 0.000 1
# Uncorrected formation energy ... -1366 meV/atom
# Volume ... 217 Å³ per cell

***

# Li2ErPN4 | Alexandria | PBE-GGA | relaxed
data_Li2ErPN4
_space_group_name_H-M_alt 'I -4 2 m'
_space_group_IT_number 121
_space_group_name_Hall 'I -4 2'
_cell_length_a 5.175
_cell_length_b 5.175
_cell_length_c 6.286
_cell_angle_alpha 90.00
_cell_angle_beta 90.00
_cell_angle_gamma 90.00
loop_
_atom_site_label
_atom_site_type_symbol
_atom_site_fract_x
_atom_site_fract_y
_atom_site_fract_z
_atom_site_occupancy
Li1 Li 0.000 0.500 0.250 1
Er1 Er 0.000 0.000 0.000 1
P1 P 0.000 0.000 0.500 1
N1 N 0.190 0.190 0.639 1
# Uncorrected formation energy ... -648 meV/atom
# Volume ... 168 Å³ per cell

***

# LiEr3Pa3N8 | Alexandria | PBE-GGA | relaxed
data_LiEr3Pa3N8
_space_group_name_H-M_alt 'R -3 m'
_space_group_IT_number 166
_space_group_name_Hall '-R 3 2"'
_cell_length_a 6.8460
_cell_length_b 6.8460
_cell_length_c 16.5948
_cell_angle_alpha 90.00
_cell_angle_beta 90.00
_cell_angle_gamma 120.00
loop_
_atom_site_label
_atom_site_type_symbol
_atom_site_fract_x
_atom_site_fract_y
_atom_site_fract_z
_atom_site_occupancy
Li1 Li 0.0000 0.0000 0.0000 1
Er1 Er 0.0000 0.5000 0.5000 1
Pa1 Pa 0.0000 0.5000 0.0000 1
N1 N 0.0000 0.0000 0.2466 1
N2 N 0.0056 0.5028 0.2597 1
# Uncorrected formation energy ... -1316 meV/atom
# Volume ... 674 Å³ per cell

***

# LiEr2PaN4 | Alexandria | PBE-GGA | relaxed
data_LiEr2PaN4
_space_group_name_H-M_alt 'P 1 2/m 1'
_space_group_IT_number 10
_cell_length_a 5.725
_cell_length_b 3.510
_cell_length_c 5.859
_cell_angle_alpha 90.00
_cell_angle_beta 106.06
_cell_angle_gamma 90.00
loop_
_space_group_symop_operation_xyz
'x,y,z'
'-x,-y,-z'
'-x,y,-z'
'x,-y,z'
loop_
_atom_site_label
_atom_site_type_symbol
_atom_site_fract_x
_atom_site_fract_y
_atom_site_fract_z
_atom_site_occupancy
Li1 Li 0.000 0.000 0.000 1
Er1 Er 0.000 0.500 0.500 1
Er2 Er 0.500 0.000 0.500 1
Pa1 Pa 0.500 0.500 0.000 1
N1 N 0.251 0.000 0.751 1
N2 N 0.290 0.500 0.258 1
# Uncorrected formation energy ... -1457 meV/atom
# Volume ... 113 Å³ per cell

***

# LiEr3Pa2N6 | Alexandria | PBE-GGA | relaxed
data_LiEr3Pa2N6
_space_group_name_H-M_alt 'C 1 2/m 1'
_space_group_IT_number 12
_cell_length_a 14.652
_cell_length_b 3.474
_cell_length_c 6.956
_cell_angle_alpha 90.00
_cell_angle_beta 104.55
_cell_angle_gamma 90.00
loop_
_space_group_symop_operation_xyz
'x,y,z'
'-x,-y,-z'
'-x,y,-z'
'x,-y,z'
'x+1/2,y+1/2,z'
'-x+1/2,-y+1/2,-z'
'-x+1/2,y+1/2,-z'
'x+1/2,-y+1/2,z'
loop_
_atom_site_label
_atom_site_type_symbol
_atom_site_fract_x
_atom_site_fract_y
_atom_site_fract_z
_atom_site_occupancy
Li1 Li 0.000 0.000 0.000 1
Er1 Er 0.000 0.000 0.500 1
Er2 Er 0.160 0.500 0.836 1
Pa1 Pa 0.161 0.500 0.319 1
N1 N 0.008 0.500 0.271 1
N2 N 0.168 0.000 0.089 1
N3 N 0.169 0.000 0.584 1
# Uncorrected formation energy ... -1551 meV/atom
# Volume ... 343 Å³ per cell

***

# LiErPa2N5 | Alexandria | PBE-GGA | relaxed
data_LiErPa2N5
_space_group_name_H-M_alt 'C m c 21'
_space_group_IT_number 36
_cell_length_a 3.514
_cell_length_b 12.844
_cell_length_c 10.266
_cell_angle_alpha 90.00
_cell_angle_beta 90.00
_cell_angle_gamma 90.00
loop_
_space_group_symop_operation_xyz
'x,y,z'
'-x,-y,z+1/2'
'-x,y,z'
'x,-y,z+1/2'
'x+1/2,y+1/2,z'
'-x+1/2,-y+1/2,z+1/2'
'-x+1/2,y+1/2,z'
'x+1/2,-y+1/2,z+1/2'
loop_
_atom_site_label
_atom_site_type_symbol
_atom_site_fract_x
_atom_site_fract_y
_atom_site_fract_z
_atom_site_occupancy
Li1 Li 0.000 0.011 0.000 1
Er1 Er 0.000 0.346 0.932 1
Pa1 Pa 0.000 0.334 0.620 1
Pa2 Pa 0.000 0.401 0.254 1
N1 N 0.000 0.011 0.307 1
N2 N 0.000 0.165 0.596 1
N3 N 0.000 0.168 0.980 1
N4 N 0.000 0.220 0.266 1
N5 N 0.000 0.495 0.076 1
# Uncorrected formation energy ... -1190 meV/atom
# Volume ... 463 Å³ per cell

***

# LiErPa2N4 | Alexandria | PBE-GGA | relaxed
data_LiErPa2N4
_space_group_name_H-M_alt 'P 1 2/m 1'
_space_group_IT_number 10
_cell_length_a 5.790
_cell_length_b 3.522
_cell_length_c 6.051
_cell_angle_alpha 90.00
_cell_angle_beta 109.45
_cell_angle_gamma 90.00
loop_
_space_group_symop_operation_xyz
'x,y,z'
'-x,-y,-z'
'-x,y,-z'
'x,-y,z'
loop_
_atom_site_label
_atom_site_type_symbol
_atom_site_fract_x
_atom_site_fract_y
_atom_site_fract_z
_atom_site_occupancy
Li1 Li 0.000 0.000 0.000 1
Er1 Er 0.000 0.500 0.500 1
Pa1 Pa 0.500 0.000 0.500 1
Pa2 Pa 0.500 0.500 0.000 1
N1 N 0.263 0.000 0.755 1
N2 N 0.287 0.500 0.269 1
# Uncorrected formation energy ... -1408 meV/atom
# Volume ... 116 Å³ per cell

***

Raw total energy, respectively: -7.034, -5.228, -6.772, -5.677, -6.320, -5.354, -5.875, -5.687, -4.576, -5.525, -8.457, -7.931, -8.554, -8.526, -6.536, -8.695, -8.186, -8.596, -8.645, -8.754 eV per atom.